Entry 1:
# HfTi2Pt2 (PBE, relaxed)
# Crystal system   tetragonal
data_HfTi2Pt2
_chemical_formula_sum 'Hf2 Ti4 Pt4'
_cell_length_a 7.4253
_cell_length_b 7.4253
_cell_length_c 3.1760
_cell_angle_alpha 90.00
_cell_angle_beta 90.00
_cell_angle_gamma 90.00
_symmetry_space_group_name_H-M 'P 4/m b m'
_symmetry_Int_Tables_number 127
_symmetry_space_group_name_Hall '-P 4 2ab'
loop_
_atom_site_label
_atom_site_fract_x
_atom_site_fract_y
_atom_site_fract_z
_atom_site_occupancy
Hf1 0.0000 0.0000 0.0000 1
Ti1 0.1668 0.3332 0.5000 1
Pt1 0.1321 0.6321 0.0000 1

***

Entry 2:
# Hf2TiPt9 (PBE, relaxed)
# Crystal system   tetragonal
data_Hf2TiPt9
_chemical_formula_sum 'Hf2 Ti1 Pt9'
_cell_length_a 4.0075
_cell_length_b 4.0075
_cell_length_c 12.0025
_cell_angle_alpha 90.00
_cell_angle_beta 90.00
_cell_angle_gamma 90.00
_symmetry_space_group_name_H-M 'P 4/m m m'
_symmetry_Int_Tables_number 123
_symmetry_space_group_name_Hall '-P 4 2'
loop_
_atom_site_label
_atom_site_fract_x
_atom_site_fract_y
_atom_site_fract_z
_atom_site_occupancy
Hf1 0.0000 0.0000 0.1692 1
Ti1 0.0000 0.0000 0.5000 1
Pt1 0.0000 0.5000 0.0000 1
Pt2 0.0000 0.5000 0.3385 1
Pt3 0.5000 0.5000 0.1690 1
Pt4 0.5000 0.5000 0.5000 1

***

Entry 3:
# HfTiPt4 (PBE, relaxed)
# Crystal system   monoclinic
data_HfTiPt4
_chemical_formula_sum 'Hf2 Ti2 Pt8'
_cell_length_a 9.2195
_cell_length_b 3.7895
_cell_length_c 5.9322
_cell_angle_alpha 90.00
_cell_angle_beta 108.57
_cell_angle_gamma 90.00
_symmetry_space_group_name_H-M 'C 1 2/m 1'
_symmetry_Int_Tables_number 12
loop_
_symmetry_equiv_pos_as_xyz
'x,y,z'
'-x,-y,-z'
'-x,y,-z'
'x,-y,z'
'x+1/2,y+1/2,z'
'-x+1/2,-y+1/2,-z'
'-x+1/2,y+1/2,-z'
'x+1/2,-y+1/2,z'
loop_
_atom_site_label
_atom_site_fract_x
_atom_site_fract_y
_atom_site_fract_z
_atom_site_occupancy
Hf1 0.0000 0.0000 0.0000 1
Ti1 0.0000 0.0000 0.5000 1
Pt1 0.1600 0.5000 0.3392 1
Pt2 0.1626 0.5000 0.8228 1

***

Entry 4:
# HfTi2Pt2 (PBE, relaxed)
# Crystal system   tetragonal
data_HfTi2Pt2
_chemical_formula_sum 'Hf2 Ti4 Pt4'
_cell_length_a 7.7314
_cell_length_b 7.7314
_cell_length_c 2.8537
_cell_angle_alpha 90.00
_cell_angle_beta 90.00
_cell_angle_gamma 90.00
_symmetry_space_group_name_H-M 'P 4/m b m'
_symmetry_Int_Tables_number 127
_symmetry_space_group_name_Hall '-P 4 2ab'
loop_
_atom_site_label
_atom_site_fract_x
_atom_site_fract_y
_atom_site_fract_z
_atom_site_occupancy
Hf1 0.0000 0.0000 0.0000 1
Ti1 0.1513 0.3487 0.0000 1
Pt1 0.1467 0.6467 0.5000 1

***

Number 1: energy of formation -0.76 eV per atom, DOS at the Fermi energy 0.909 states/eV/atom, DFT total energy -8.3220 eV/atom. Number 2: energy of formation -1.02 eV per atom, DOS at the Fermi energy 0.144 states/eV/atom, DFT total energy -7.8715 eV/atom. Number 3: energy of formation -0.96 eV per atom, DOS at the Fermi energy 0.576 states/eV/atom, DFT total energy -7.9609 eV/atom. Number 4: energy of formation -0.66 eV per atom, DOS at the Fermi energy 1.193 states/eV/atom, DFT total energy -8.2220 eV/atom.